DFT (PBE with a Hubbard U) results for a relaxed structure of NaNiAg2F8.

Cell lengths 5.6087, 5.6087, 6.5279 Å; angles 115.44, 115.44, 90.00 degrees
Last column: nearest neighbours and their distance in Å.
Atoms (fractional coordinates):
F: 0.9330 0.6198 0.5086  1 Ag 1.95
F: 0.6898 0.8381 0.0022  1 Ni 1.97, 1 Ag 2.17
Ag: 0.2500 0.7500 0.5000  4 F 1.95
F: 0.1112 0.0670 0.4914  1 Ag 1.95
Na: 0.7500 0.2500 0.5000  4 F 2.28
F: 0.5756 0.8888 0.5086  1 Ag 1.95
F: 0.3802 0.4244 0.4914  1 Ag 1.95
Ni: 0.0000 0.0000 0.0000  4 F 1.97
F: 0.8359 0.3102 0.9978  1 Ni 1.97, 1 Ag 2.17
F: 0.3124 0.1641 0.0022  1 Ni 1.97, 1 Ag 2.17
Ag: 0.5000 0.5000 0.0000  4 F 2.17
F: 0.1619 0.6876 0.9978  1 Ni 1.97, 1 Ag 2.17

Summary:
The calculated total energy is -3.5735 eV/atom. The density of states at the Fermi level comes out at 2.60 states/eV/f.u.